## Cd2TeO4F (PBE)

Data for an optimized crystal structure of Cd2TeO4F.

Magnetization, μB per cell: 0.00
Energy relative to the elements, uncorrected, kJ/mol of atoms: -107

Cell: 3.3202 5.5279 6.7588 Å, 70.09 75.78 72.52°
With the nearest neighbours (Å) after each atom.
Element x y z (fractional)
Cd 0.8157 0.7100 0.6587  3 O 2.27-2.40, 2 F 2.39
Te 0.0000 0.0000 0.0000  6 O 2.02-2.13
F 0.5000 0.5000 0.5000  4 Cd 2.39
O 0.6089 0.7373 0.0449  2 Te 2.13
O 0.3911 0.2627 0.9551  2 Te 2.13
Cd 0.1843 0.2900 0.3413  3 O 2.27-2.40, 2 F 2.39
O 0.8413 0.0119 0.3055  1 Te 2.02
O 0.1587 0.9881 0.6945  1 Te 2.02

***

## CdTeOF2 (PBE)

Data for an optimized crystal structure of CdTeOF2.

Magnetization, μB per cell: 1.30
Energy relative to the elements, uncorrected, kJ/mol of atoms: -76
Energy above the most stable polymorph in this dataset, meV/atom: 189

Cell: 4.2466 4.2466 4.7796 Å, 90.00 90.00 90.00°
With the nearest neighbours (Å) after each atom.
Element x y z (fractional)
O 0.0000 0.0000 0.5000  2 Cd 2.39
F 0.5000 0.0000 0.0000  2 Cd 2.12
Cd 0.0000 0.0000 0.0000  4 F 2.12
Te 0.5000 0.5000 0.5000  4 O 3.00, 8 F 3.20
F 0.0000 0.5000 0.0000  2 Cd 2.12

***

## TiCdOF2 (PBE)

Data for an optimized crystal structure of TiCdOF2.

Magnetization, μB per cell: 2.00
Energy relative to the elements, uncorrected, kJ/mol of atoms: -106
Energy above the most stable polymorph in this dataset, meV/atom: 1099

Cell: 4.2962 4.2962 4.3610 Å, 90.00 90.00 90.00°
With the nearest neighbours (Å) after each atom.
Element x y z (fractional)
F 0.0000 0.5000 0.0000  2 Cd 2.15
Ti 0.5000 0.5000 0.5000  4 O 3.04, 8 F 3.06
Cd 0.0000 0.0000 0.0000  4 F 2.15, 2 O 2.18
F 0.5000 0.0000 0.0000  2 Cd 2.15
O 0.0000 0.0000 0.5000  2 Cd 2.18

***

## TiCdOF2 (PBE)

Data for an optimized crystal structure of TiCdOF2.

Magnetization, μB per cell: 1.03
Energy relative to the elements, uncorrected, kJ/mol of atoms: -212
Energy above the most stable polymorph in this dataset, meV/atom: 0

Cell: 4.2327 4.2327 3.8317 Å, 90.00 90.00 90.00°
With the nearest neighbours (Å) after each atom.
Element x y z (fractional)
Ti 0.0000 0.0000 0.0000  2 O 1.92, 4 F 2.12
F 0.0000 0.5000 0.0000  2 Ti 2.12
Cd 0.5000 0.5000 0.5000  8 F 2.85, 4 O 2.99
F 0.5000 0.0000 0.0000  2 Ti 2.12
O 0.0000 0.0000 0.5000  2 Ti 1.92

***

## YTi2CdO6F (PBE)

Data for an optimized crystal structure of YTi2CdO6F.

Magnetization, μB per cell: 0.00
Energy relative to the elements, uncorrected, kJ/mol of atoms: -267

Cell: 7.2215 7.2215 7.2215 Å, 121.57 117.44 90.90°
With the nearest neighbours (Å) after each atom.
Element x y z (fractional)
Cd 0.5000 0.5000 0.5000  2 F 2.25, 2 O 2.39
O 0.0829 0.8329 0.2500  2 Ti 1.95
F 0.3622 0.1122 0.2500  2 Y 2.19, 2 Cd 2.25
O 0.6762 0.8287 0.2636  2 Ti 1.95-1.98
O 0.0651 0.8287 0.6525  2 Ti 1.95-1.98
O 0.3238 0.5874 0.1525  2 Ti 1.95-1.98
F 0.6378 0.8878 0.7500  2 Y 2.19, 2 Cd 2.25
Ti 0.0000 0.5000 0.5000  6 O 1.95-2.09
O 0.6593 0.4093 0.2500  2 Ti 2.09
O 0.9349 0.5874 0.7636  2 Ti 1.95-1.98
O 0.3407 0.5907 0.7500  2 Ti 2.09
Ti 0.0000 0.5000 0.0000  6 O 1.95-1.98
O 0.9349 0.1713 0.3475  2 Ti 1.95-1.98
O 0.9171 0.1671 0.7500  2 Ti 1.95
Cd 0.5000 0.0000 0.0000  2 F 2.25, 2 O 2.39
O 0.6762 0.4126 0.8475  2 Ti 1.95-1.98
O 0.3238 0.1713 0.7364  2 Ti 1.95-1.98
Y 0.5000 0.0000 0.5000  2 F 2.19, 4 O 2.43
O 0.0651 0.4126 0.2364  2 Ti 1.95-1.98
Ti 0.0000 0.0000 0.5000  6 O 1.95-1.98
Y 0.0000 0.0000 0.0000  2 F 2.19, 4 O 2.43
Ti 0.5000 0.5000 0.0000  6 O 1.95-2.09

***

## TlCdOF2 (PBE)

Data for an optimized crystal structure of TlCdOF2.

Magnetization, μB per cell: 0.00
Energy relative to the elements, uncorrected, kJ/mol of atoms: -99
Energy above the most stable polymorph in this dataset, meV/atom: 289

Cell: 4.5712 4.5712 4.2031 Å, 90.00 90.00 90.00°
With the nearest neighbours (Å) after each atom.
Element x y z (fractional)
O 0.0000 0.0000 0.5000  2 Tl 2.10
Cd 0.5000 0.5000 0.5000  8 F 3.10, 4 O 3.23
F 0.0000 0.5000 0.0000  2 Tl 2.29
Tl 0.0000 0.0000 0.0000  2 O 2.10, 4 F 2.29
F 0.5000 0.0000 0.0000  2 Tl 2.29

***

## TlCdOF2 (PBE)

Data for an optimized crystal structure of TlCdOF2.

Magnetization, μB per cell: 0.99
Energy relative to the elements, uncorrected, kJ/mol of atoms: -127
Energy above the most stable polymorph in this dataset, meV/atom: 0

Cell: 4.4497 4.4497 4.4225 Å, 90.00 90.00 90.00°
With the nearest neighbours (Å) after each atom.
Element x y z (fractional)
F 0.0000 0.5000 0.0000  2 Cd 2.22
F 0.5000 0.0000 0.0000  2 Cd 2.22
O 0.0000 0.0000 0.5000  2 Cd 2.21
Tl 0.5000 0.5000 0.5000  8 F 3.14, 4 O 3.15
Cd 0.0000 0.0000 0.0000  2 O 2.21, 4 F 2.22

***

## Tl2CdOF2 (PBE)

Data for an optimized crystal structure of Tl2CdOF2.

Magnetization, μB per cell: 0.00
Energy relative to the elements, uncorrected, kJ/mol of atoms: -139

Cell: 6.0229 6.5757 8.1703 Å, 113.73 90.00 90.00°
With the nearest neighbours (Å) after each atom.
Element x y z (fractional)
Cd 0.8282 0.1458 0.0000  2 O 2.18, 2 F 2.23
Tl 0.2805 0.1433 0.7016  1 O 2.46, 2 F 2.56-2.59
Cd 0.3282 0.8542 0.0000  2 O 2.18, 2 F 2.23
Tl 0.2805 0.4417 0.2984  1 O 2.46, 2 F 2.56-2.59
O 0.1894 0.1601 0.0000  2 Cd 2.18
Tl 0.7805 0.8567 0.2984  1 O 2.46, 2 F 2.56-2.59
F 0.1973 0.5526 0.7775  1 Cd 2.23
Tl 0.7805 0.5583 0.7016  1 O 2.46, 2 F 2.56-2.59
F 0.6973 0.2249 0.7775  1 Cd 2.23
O 0.6894 0.8399 0.0000  2 Cd 2.18
F 0.1973 0.7751 0.2225  1 Cd 2.23
F 0.6973 0.4474 0.2225  1 Cd 2.23